[1]
## Na2LiHg7 (PBE-GGA)

Data for crystalline Na2LiHg7 at its relaxed geometry.

Values from the calculation:
The total magnetization is 0.00 μB per atom. The calculation puts the energy relative to the elements at -0.151 eV/atom. For the relative energy among the computed polymorphs, the calculation gives 0 meV/atom. For the total energy, the calculation gives -0.8174 eV/atom. The space-group type is P3m1, No. 156.

a b c (Å): 4.9256 4.9256 12.8687
angles (deg): 90.00 90.00 120.00
Fractional positions:
Na  0.3333  0.6667  0.7063
Na  0.6667  0.3333  0.3433
Li  0.0000  0.0000  0.9893
Hg  0.6667  0.3333  0.5871
Hg  0.6667  0.3333  0.8617
Hg  0.0000  0.0000  0.7616
Hg  0.0000  0.0000  0.2247
Hg  0.3333  0.6667  0.4582
Hg  0.3333  0.6667  0.9792
Hg  0.6667  0.3333  0.1051

[2]
## Na2Li3Hg9 (PBE-GGA)

Data for crystalline Na2Li3Hg9 at its relaxed geometry.

Values from the calculation:
The total magnetization is 0.00 μB per atom. The calculation puts the energy relative to the elements at -0.238 eV/atom. For the total energy, the calculation gives -1.0307 eV/atom. The space-group type is C2/c, No. 15.

a b c (Å): 8.3742 8.3742 11.7311
angles (deg): 90.51 110.32 120.07
Fractional positions:
Na  0.3338  0.2509  0.7505
Na  0.6662  0.7491  0.2495
Na  0.0004  0.5833  0.7495
Na  0.9996  0.4167  0.2505
Li  0.5000  0.0000  0.0000
Li  0.5000  0.5000  0.5000
Li  0.8453  0.1740  0.5013
Li  0.1547  0.8260  0.4987
Li  0.1727  0.3440  0.9987
Li  0.8273  0.6560  0.0013
Hg  0.4240  0.9201  0.7480
Hg  0.5760  0.0799  0.2520
Hg  0.6721  0.6760  0.7520
Hg  0.3279  0.3240  0.2480
Hg  0.4519  0.6419  0.9294
Hg  0.5481  0.3581  0.0706
Hg  0.2125  0.5225  0.5706
Hg  0.7875  0.4775  0.4294
Hg  0.9068  0.1568  0.7500
Hg  0.0932  0.8432  0.2500
Hg  0.1267  0.9796  0.9316
Hg  0.8733  0.0204  0.0684
Hg  0.5480  0.1951  0.5684
Hg  0.4520  0.8049  0.4316
Hg  0.8772  0.8566  0.5665
Hg  0.1228  0.1434  0.4335
Hg  0.7901  0.3108  0.9335
Hg  0.2099  0.6892  0.0665

[3]
## Na3LiHg7 (PBE-GGA)

Data for crystalline Na3LiHg7 at its relaxed geometry.

Values from the calculation:
The total magnetization is 0.00 μB per atom. The calculation puts the energy relative to the elements at -0.207 eV/atom. For the total energy, the calculation gives -0.9326 eV/atom. The space-group type is Cmcm, No. 63.

a b c (Å): 3.3227 12.1439 14.0264
angles (deg): 90.00 90.00 97.86
Fractional positions:
Na  0.0893  0.1785  0.4598
Na  0.9107  0.8215  0.5402
Na  0.2434  0.4867  0.7500
Na  0.7566  0.5133  0.2500
Na  0.0893  0.1785  0.0402
Na  0.9107  0.8215  0.9598
Li  0.9241  0.8481  0.2500
Li  0.0759  0.1519  0.7500
Hg  0.3925  0.7850  0.7500
Hg  0.6075  0.2150  0.2500
Hg  0.4884  0.9769  0.3771
Hg  0.5116  0.0231  0.6229
Hg  0.5116  0.0231  0.8771
Hg  0.4884  0.9769  0.1229
Hg  0.3528  0.7055  0.3638
Hg  0.6472  0.2945  0.6362
Hg  0.2973  0.5946  0.5578
Hg  0.7027  0.4054  0.4422
Hg  0.7027  0.4054  0.0578
Hg  0.2973  0.5946  0.9422
Hg  0.3528  0.7055  0.1362
Hg  0.6472  0.2945  0.8638